# 1
First-principles (PBE-GGA) data for crystalline K3Ce3FeS8 at its relaxed geometry, as listed in Alexandria.

a b c (Å): 8.074 8.074 8.792
angles (deg): 117.34 90.00 120.00
Site moments in Bohr magnetons follow the coordinates.
Element x y z (fractional)
S 0.220 0.439 0.688  0.04
S 0.780 0.561 0.312  0.04
Ce 0.500 0.000 0.500  0.50
K 0.000 0.500 0.000  0.00
S 0.736 0.472 0.707  -0.01
Fe 0.000 0.000 0.500  3.50
S 0.749 0.968 0.687  0.04
K 0.500 0.500 0.000  0.00
S 0.781 0.032 0.313  0.04
S 0.264 0.528 0.293  -0.01
K 0.000 0.000 0.000  0.00
S 0.251 0.032 0.313  0.04
Ce 0.500 0.500 0.500  0.50
S 0.219 0.968 0.687  0.04
Ce 0.000 0.500 0.500  0.50

Fermi-level density of states = 18.23 states/eV/cell
energy relative to the elements, uncorrected = -141 kJ per mole of atoms

***

# 2
First-principles (PBE-GGA) data for crystalline K3Ce2FeS6 at its relaxed geometry, as listed in Alexandria.

a b c (Å): 6.984 6.984 7.701
angles (deg): 98.69 98.69 120.03
Site moments in Bohr magnetons follow the coordinates.
Element x y z (fractional)
S 0.616 0.934 0.802  0.03
Ce 0.667 0.333 0.000  0.46
S 0.066 0.384 0.198  0.03
K 0.167 0.833 0.500  0.00
K 0.500 0.500 0.500  0.00
K 0.833 0.167 0.500  0.00
S 0.934 0.616 0.802  0.03
S 0.384 0.066 0.198  0.03
S 0.252 0.252 0.802  0.03
Fe 0.000 0.000 0.000  3.39
Ce 0.333 0.667 0.000  0.46
S 0.748 0.748 0.198  0.03

Fermi-level density of states = 13.31 states/eV/cell
energy relative to the elements, uncorrected = -133 kJ per mole of atoms

***

# 3
First-principles (PBE-GGA) data for crystalline K3Ce3FeSe8 at its relaxed geometry, as listed in Alexandria.

a b c (Å): 8.399 8.399 9.171
angles (deg): 117.26 90.00 120.00
Site moments in Bohr magnetons follow the coordinates.
Element x y z (fractional)
Se 0.263 0.526 0.289  -0.02
Se 0.737 0.474 0.711  -0.02
K 0.500 0.500 0.000  0.00
Ce 0.500 0.500 0.500  0.56
Ce 0.000 0.500 0.500  0.56
Se 0.779 0.029 0.309  0.04
Ce 0.500 0.000 0.500  0.56
Se 0.780 0.559 0.309  0.04
Se 0.221 0.971 0.691  0.04
Se 0.220 0.441 0.691  0.04
K 0.000 0.000 0.000  0.00
Se 0.250 0.029 0.309  0.04
Se 0.750 0.971 0.691  0.04
Fe 0.000 0.000 0.500  3.47
K 0.000 0.500 0.000  0.00

Fermi-level density of states = 17.57 states/eV/cell
energy relative to the elements, uncorrected = -131 kJ per mole of atoms

***

Question: energy relative to the elements, uncorrected of number 2 (K3Ce2FeS6)?
Answer: -133 kJ per mole of atoms

***

Question: The highest energy relative to the elements, uncorrected belongs to which entry?
Answer: K3Ce3FeSe8

***

Question: Among the records above, which one has the highest energy relative to the elements, uncorrected?
Answer: K3Ce3FeSe8

***

Question: Look up the energy relative to the elements, uncorrected of the third one.
Answer: -131 kJ per mole of atoms